# 1
Entry from the Alexandria database: CaZr3P after structural relaxation (PBE).

Geometry as POSCAR:
```
CaZr3P
1.0
5.027 0.000 0.000
0.000 5.027 0.000
0.000 0.000 5.027
P Zr Ca
1 3 1
Direct
0.000 0.000 0.000
0.000 0.000 0.500
0.000 0.500 0.000
0.500 0.000 0.000
0.500 0.500 0.500
```

Summary:
**D(E_F)**: 4.50 states/eV/f.u.
**Space group**: Pm-3m
**E_form**: -0.29 eV/atom
**VASP energy**: -6.900 eV per atom



# 2
Entry from the Alexandria database: Ca2ZrP after structural relaxation (PBE).

Geometry as POSCAR:
```
Ca2ZrP
1.0
-2.391 -1.108 2.185
0.637 -3.229 -0.941
6.080 -0.644 6.327
Ca Zr P
2 1 1
Direct
0.000 0.000 0.440
0.000 0.000 0.060
0.500 0.500 0.750
0.500 0.500 0.250
```

Summary:
**D(E_F)**: 3.85 states/eV/f.u.
**Space group**: P4/mmm
**E_form**: -0.18 eV/atom
**VASP energy**: -4.673 eV per atom



# 3
Entry from the Alexandria database: CaZrP2 after structural relaxation (PBE).

Geometry as POSCAR:
```
CaZrP2
1.0
-2.110 3.278 0.083
-2.085 -1.417 2.974
3.532 2.185 3.517
Ca Zr P
1 1 2
Direct
0.500 0.500 0.875
0.000 0.000 0.375
0.000 0.000 0.875
0.500 0.500 0.375
```

Summary:
**D(E_F)**: 1.09 states/eV/f.u.
**Space group**: P4/mmm
**E_form**: -1.12 eV/atom
**VASP energy**: -6.464 eV per atom



# 4
Entry from the Alexandria database: Ca2ZrP after structural relaxation (PBE).

Geometry as POSCAR:
```
Ca2ZrP
1.0
3.581 0.000 0.000
0.000 3.581 0.000
0.000 0.000 8.628
Ca P Zr
2 1 1
Direct
0.000 0.000 0.948
0.500 0.500 0.313
0.000 0.000 0.569
0.500 0.500 0.670
```

Summary:
**D(E_F)**: 2.97 states/eV/f.u.
**Space group**: P4mm
**E_form**: -0.44 eV/atom
**VASP energy**: -4.935 eV per atom



# 5
Entry from the Alexandria database: CaZrP2 after structural relaxation (PBE).

Geometry as POSCAR:
```
CaZrP2
1.0
-0.279 -3.371 1.804
2.634 -1.009 2.596
-2.922 1.468 6.366
P Zr Ca
2 1 1
Direct
0.260 0.260 0.221
0.074 0.074 0.777
0.669 0.669 0.994
0.497 0.497 0.509
```

Summary:
**D(E_F)**: 0.68 states/eV/f.u.
**Space group**: R3m
**E_form**: -1.18 eV/atom
**VASP energy**: -6.522 eV per atom



# 6
Entry from the Alexandria database: Ca2ZrP after structural relaxation (PBE).

Geometry as POSCAR:
```
Ca2ZrP
1.0
5.764 0.008 -0.089
-2.727 5.078 -0.089
0.077 0.129 3.350
Zr Ca P
1 2 1
Direct
0.000 0.500 0.500
0.500 0.500 0.000
0.000 0.000 0.000
0.500 0.000 0.500
```

Summary:
**D(E_F)**: 4.43 states/eV/f.u.
**Space group**: C2/m
**E_form**: 0.05 eV/atom
**VASP energy**: -4.441 eV per atom



# 7
Entry from the Alexandria database: CaZrP2 after structural relaxation (PBE).

Geometry as POSCAR:
```
CaZrP2
1.0
1.799 -4.022 -1.853
0.214 -3.968 2.656
-2.886 -3.684 -0.971
P Zr Ca
2 1 1
Direct
0.750 0.750 0.750
0.250 0.250 0.250
0.500 0.500 0.500
0.000 0.000 0.000
```

Summary:
**D(E_F)**: 2.71 states/eV/f.u.
**Space group**: Fm-3m
**E_form**: -0.69 eV/atom
**VASP energy**: -6.032 eV per atom



# 8
Entry from the Alexandria database: Ca2ZrP after structural relaxation (PBE).

Geometry as POSCAR:
```
Ca2ZrP
1.0
8.924 0.004 0.002
7.382 5.015 -0.002
-8.115 -2.632 2.619
Ca Zr P
2 1 1
Direct
0.911 0.911 0.000
0.589 0.589 0.000
0.250 0.750 0.500
0.750 0.250 0.500
```

Summary:
**D(E_F)**: 4.08 states/eV/f.u.
**Space group**: Immm
**E_form**: -0.47 eV/atom
**VASP energy**: -4.959 eV per atom



# 9
Entry from the Alexandria database: CaZrP3 after structural relaxation (PBE).

Geometry as POSCAR:
```
CaZrP3
1.0
5.019 0.000 0.000
0.000 5.019 0.000
0.000 0.000 5.019
P Zr Ca
3 1 1
Direct
0.500 0.000 0.000
0.000 0.500 0.000
0.000 0.000 0.500
0.000 0.000 0.000
0.500 0.500 0.500
```

Summary:
**D(E_F)**: 2.89 states/eV/f.u.
**Space group**: Pm-3m
**E_form**: -0.33 eV/atom
**VASP energy**: -5.683 eV per atom



# 10
Entry from the Alexandria database: Ca2ZrP after structural relaxation (PBE).

Geometry as POSCAR:
```
Ca2ZrP
1.0
5.047 0.000 0.000
2.524 4.371 0.000
2.524 1.457 4.121
Ca Zr P
2 1 1
Direct
0.250 0.250 0.250
0.000 0.000 0.000
0.750 0.750 0.750
0.500 0.500 0.500
```

Summary:
**D(E_F)**: 3.22 states/eV/f.u.
**Space group**: F-43m
**E_form**: 0.17 eV/atom
**VASP energy**: -4.319 eV per atom



# 11
Entry from the Alexandria database: CaZrP3 after structural relaxation (PBE).

Geometry as POSCAR:
```
CaZrP3
1.0
4.922 0.000 0.000
0.000 4.922 0.000
0.000 0.000 4.922
P Ca Zr
3 1 1
Direct
0.500 0.000 0.000
0.000 0.500 0.000
0.000 0.000 0.500
0.000 0.000 0.000
0.500 0.500 0.500
```

Summary:
**D(E_F)**: 5.56 states/eV/f.u.
**Space group**: Pm-3m
**E_form**: 0.90 eV/atom
**VASP energy**: -4.457 eV per atom



# 12
Entry from the Alexandria database: Ca2ZrP after structural relaxation (PBE).

Geometry as POSCAR:
```
Ca2ZrP
1.0
3.977 0.000 0.000
0.000 4.630 -0.010
0.000 2.330 6.083
P Ca Zr
1 2 1
Direct
0.000 0.702 0.471
0.000 0.954 0.967
0.500 0.271 0.332
0.500 0.572 0.731
```

Summary:
**D(E_F)**: 3.65 states/eV/f.u.
**Space group**: Amm2
**E_form**: -0.36 eV/atom
**VASP energy**: -4.850 eV per atom